Version i
# NdHoCu4

Crystalline NdHoCu4 at its relaxed geometry (PBE, the Alexandria database).

```
NdHoCu4
1.0
0.000 3.752 3.752
3.752 0.000 3.752
3.752 3.752 0.000
Nd Ho Cu
1 1 4
Cartesian
0.000 0.000 0.000
5.628 5.628 5.628
2.821 2.821 2.821
4.683 4.683 2.821
4.683 2.821 4.683
2.821 4.683 4.683
```

---

Version ii
# NdHoCu4

Crystalline NdHoCu4 at its relaxed geometry (PBE, the Alexandria database).

```
NdHoCu4
1.0
-2.157 3.482 3.701
2.157 -3.482 3.701
2.157 3.482 -3.701
Nd Ho Cu
1 1 4
Cartesian
0.000 0.000 0.000
0.000 3.482 0.613
2.157 -1.406 1.555
2.157 2.123 -0.882
2.157 1.406 1.555
0.000 1.360 2.818
```

---

version ii (113 meV/atom below the next structure)

---

Version i
# NdHoCu

Crystalline NdHoCu at its relaxed geometry (PBE, the Alexandria database).

```
NdHoCu
1.0
0.000 3.472 3.472
3.472 0.000 3.472
3.472 3.472 0.000
Nd Ho Cu
1 1 1
Cartesian
0.000 0.000 0.000
3.472 3.472 3.472
1.736 1.736 1.736
```

---

Version ii
# NdHoCu

Crystalline NdHoCu at its relaxed geometry (PBE, the Alexandria database).

```
NdHoCu
1.0
4.763 0.000 0.000
0.000 4.763 0.000
0.000 0.000 7.012
Nd Ho Cu
2 2 2
Cartesian
1.191 1.191 0.790
3.573 3.573 6.222
1.191 3.573 3.506
3.573 1.191 3.506
1.191 1.191 5.042
3.573 3.573 1.970
```

---

version ii (192 meV/atom below the next structure)

---

Version i
# NdHoCu

Crystalline NdHoCu at its relaxed geometry (PBE, the Alexandria database).

```
NdHoCu
1.0
-1.763 1.763 6.262
1.763 -1.763 6.262
1.763 1.763 -6.262
Nd Ho Cu
1 1 1
Cartesian
0.000 0.000 0.000
0.000 0.000 3.478
0.000 0.000 8.209
```

---

Version ii
# NdHoCu

Crystalline NdHoCu at its relaxed geometry (PBE, the Alexandria database).

```
NdHoCu
1.0
4.807 0.000 0.000
-2.403 4.163 0.000
0.000 0.000 3.869
Nd Ho Cu
1 1 1
Cartesian
0.000 0.000 0.000
0.000 2.775 1.817
2.403 1.388 2.564
```

---

Version iii
# NdHoCu

Crystalline NdHoCu at its relaxed geometry (PBE, the Alexandria database).

```
NdHoCu
1.0
3.729 0.000 0.000
0.000 3.897 0.000
-1.859 0.000 10.934
Nd Ho Cu
2 2 2
Cartesian
0.003 0.974 4.228
1.868 2.923 6.706
0.000 0.974 9.229
1.870 2.923 1.706
0.006 0.974 0.784
1.864 2.923 10.151
```

---

version iii (8 meV/atom below the next structure)

---

Version i
# Nd2HoCu

Crystalline Nd2HoCu at its relaxed geometry (PBE, the Alexandria database).

```
Nd2HoCu
1.0
4.974 0.000 0.000
0.000 7.777 0.000
-2.485 0.000 5.851
Nd Ho Cu
4 2 2
Cartesian
-0.001 0.233 1.691
-0.001 3.655 1.691
2.490 4.122 4.160
2.490 7.544 4.160
0.004 1.944 5.340
2.485 5.833 0.510
0.007 5.833 3.508
2.482 1.944 2.343
```

---

Version ii
# Nd2HoCu

Crystalline Nd2HoCu at its relaxed geometry (PBE, the Alexandria database).

```
Nd2HoCu
1.0
3.623 0.000 0.000
0.000 3.623 0.000
0.000 0.000 8.635
Nd Ho Cu
2 1 1
Cartesian
0.000 0.000 1.756
0.000 0.000 6.879
1.812 1.812 4.317
1.812 1.812 0.000
```

---

Version iii
# Nd2HoCu

Crystalline Nd2HoCu at its relaxed geometry (PBE, the Alexandria database).

```
Nd2HoCu
1.0
1.764 1.018 11.084
-1.764 1.018 11.084
0.000 -2.037 11.084
Nd Ho Cu
2 1 1
Cartesian
0.000 0.000 3.407
0.000 0.000 29.844
0.000 0.000 0.000
0.000 0.000 16.625
```

---

Version iv
# Nd2HoCu

Crystalline Nd2HoCu at its relaxed geometry (PBE, the Alexandria database).

```
Nd2HoCu
1.0
1.844 1.065 9.992
-1.844 1.065 9.992
0.000 -2.129 9.992
Nd Ho Cu
2 1 1
Cartesian
0.000 0.000 0.000
0.000 0.000 5.808
0.000 0.000 12.880
0.000 0.000 17.902
```

---

version ii (9 meV/atom below the next structure)

---

Version i
# NdHoCuPt

Crystalline NdHoCuPt at its relaxed geometry (PBE, the Alexandria database).

```
NdHoCuPt
1.0
4.437 0.000 0.000
0.000 1.920 5.395
0.000 -1.920 5.395
Nd Ho Cu Pt
1 1 1 1
Cartesian
0.000 0.000 0.000
2.219 0.000 7.801
2.219 0.000 4.686
0.000 0.000 3.017
```

---

Version ii
# NdHoCuPt

Crystalline NdHoCuPt at its relaxed geometry (PBE, the Alexandria database).

```
NdHoCuPt
1.0
0.000 3.538 3.538
3.538 0.000 3.538
3.538 3.538 0.000
Nd Ho Cu Pt
1 1 1 1
Cartesian
0.000 0.000 0.000
3.538 3.538 3.538
1.769 1.769 1.769
5.307 5.307 5.307
```

---

version i (48 meV/atom below the next structure)

---

Version i
# Ho2CuNi3

Crystalline Ho2CuNi3 at its relaxed geometry (PBE, the Alexandria database).

```
Ho2CuNi3
1.0
2.573 1.486 4.078
-2.573 1.486 4.078
0.000 -2.972 4.078
Ho Cu Ni
2 1 3
Cartesian
0.000 0.000 1.533
0.000 0.000 10.701
0.000 0.000 6.117
-1.287 -0.743 4.078
-1.287 0.743 8.156
0.000 1.486 4.078
```

---

Version ii
# Ho2CuNi3

Crystalline Ho2CuNi3 at its relaxed geometry (PBE, the Alexandria database).

```
Ho2CuNi3
1.0
-2.192 2.542 4.652
2.192 -2.542 4.652
2.192 2.542 -4.652
Ho Cu Ni
2 1 3
Cartesian
0.000 0.000 1.770
0.000 0.000 7.533
0.000 0.000 4.652
2.192 0.000 0.000
2.192 0.000 3.503
0.000 2.542 1.148
```

---

version i (296 meV/atom below the next structure)

---

Version i
# HoCu2Ni4

Crystalline HoCu2Ni4 at its relaxed geometry (PBE, the Alexandria database).

```
HoCu2Ni4
1.0
-3.506 3.506 2.472
3.506 -3.506 2.472
3.506 3.506 -2.472
Ho Cu Ni
1 2 4
Cartesian
0.000 0.000 0.000
3.506 0.000 1.236
0.000 3.506 1.236
3.506 1.948 0.000
1.948 3.506 0.000
1.558 0.000 2.472
0.000 1.558 2.472
```

---

Version ii
# HoCu2Ni4

Crystalline HoCu2Ni4 at its relaxed geometry (PBE, the Alexandria database).

```
HoCu2Ni4
1.0
3.923 -3.096 0.000
3.923 3.096 0.000
-2.945 0.000 3.813
Ho Cu Ni
1 2 4
Cartesian
0.000 0.000 0.000
3.186 0.000 0.951
1.715 0.000 2.862
3.398 -1.899 2.642
1.504 1.899 1.171
3.398 1.899 2.642
1.504 -1.899 1.171
```

---

version ii (587 meV/atom below the next structure)

---

Version i
# Ho8CuNi2

Crystalline Ho8CuNi2 at its relaxed geometry (PBE, the Alexandria database).

```
Ho8CuNi2
1.0
8.628 -2.487 0.000
8.628 2.487 0.000
-1.867 0.000 6.326
Ho Cu Ni
8 1 2
Cartesian
0.081 0.000 1.804
1.908 0.000 5.281
4.675 0.000 3.248
6.958 0.000 0.231
8.431 0.000 6.095
10.713 0.000 3.078
13.480 0.000 1.045
15.307 0.000 4.522
7.694 0.000 3.163
2.720 0.000 1.437
12.668 0.000 4.889
```

---

Version ii
# Ho8CuNi2

Crystalline Ho8CuNi2 at its relaxed geometry (PBE, the Alexandria database).

```
Ho8CuNi2
1.0
4.103 -6.250 0.000
4.103 6.250 0.000
-1.713 0.000 5.560
Ho Cu Ni
8 1 2
Cartesian
0.000 0.000 0.000
0.310 1.643 3.218
2.679 2.799 1.027
0.310 -1.643 3.218
3.396 1.637 4.321
2.679 -2.799 1.027
3.396 -1.637 4.321
5.399 0.000 2.060
2.421 0.000 1.899
1.850 3.860 3.798
1.850 -3.860 3.798
```

---

version i (103 meV/atom below the next structure)